A plane-wave DFT calculation with PBE-GGA was carried out for crystalline LiTlAg4 at its relaxed geometry.

The structure in POSCAR format:
```
LiTlAg4
1.0
0.0000 3.9610 3.9610
3.9610 0.0000 3.9610
3.9610 3.9610 0.0000
Li Tl Ag
1 1 4
Direct
0.0000 0.0000 0.0000
0.2500 0.2500 0.2500
0.1241 0.6253 0.6253
0.6253 0.1241 0.6253
0.6253 0.6253 0.1241
0.6253 0.6253 0.6253
```

Results
E above lowest polymorph, meV/atom: 41
Volume, Å³ per cell: 124.3
Formation energy, meV per atom: 5.5
Space-group type: F-43m
M_tot, μB/f.u.: 0.0

A plane-wave DFT calculation with PBE-GGA was carried out for crystalline KTl2Hg7Au2 at its relaxed geometry.

The structure in POSCAR format:
```
KTl2Hg7Au2
1.0
4.2564 -3.4051 0.0000
4.2564 3.4051 0.0000
-0.4439 0.0000 12.6086
K Tl Hg Au
1 2 7 2
Direct
0.0000 0.0000 0.0000
0.1293 0.1293 0.6018
0.8707 0.8707 0.3982
0.1579 0.6265 0.7554
0.3647 0.3647 0.4205
0.3735 0.8421 0.2446
0.5000 0.5000 0.0000
0.6265 0.1579 0.7554
0.6353 0.6353 0.5795
0.8421 0.3735 0.2446
0.3384 0.3384 0.1836
0.6616 0.6616 0.8164
```

Results
Volume, Å³ per cell: 365.5
Formation energy, meV per atom: -48.2
Space-group type: C2/m
M_tot, μB/f.u.: 0.0

A plane-wave DFT calculation with PBE-GGA was carried out for crystalline Tc2HgSe at its relaxed geometry.

The structure in POSCAR format:
```
Tc2HgSe
1.0
1.5066 0.8698 8.4733
-1.5066 0.8698 8.4733
0.0000 -1.7396 8.4733
Tc Hg Se
2 1 1
Direct
0.2395 0.2395 0.2395
0.7605 0.7605 0.7605
0.0000 0.0000 0.0000
0.5000 0.5000 0.5000
```

Results
E above lowest polymorph, meV/atom: 255
Volume, Å³ per cell: 66.6
Space-group type: R-3m
M_tot, μB/f.u.: 0.4